[1]
SrSIN2 | the Alexandria database | GGA-PBE | optimized geometry; electronic total energy = -20.40 eV per formula unit; SG = P4/mmm, No. 123; magnetization = 0.0 μB per formula unit; density of states at the Fermi level = 1.94 states/eV/cell; energy relative to the lowest polymorph listed for this composition = 0.0 meV per atom; energy relative to the elements, uncorrected = 721 meV/atom
1.0
4.176 0.000 0.000
0.000 4.176 0.000
0.000 0.000 5.323
Sr S I N
1 1 1 2
direct
0.000 0.000 0.000
0.500 0.500 0.000
0.500 0.500 0.500
0.000 0.500 0.500
0.500 0.000 0.500

---

[2]
GePbSeF2 | the Alexandria database | GGA-PBE | optimized geometry; electronic total energy = -18.32 eV per formula unit; SG = P4/mmm, No. 123; magnetization = 0.0 μB per formula unit; density of states at the Fermi level = 4.10 states/eV/cell; energy relative to the elements, uncorrected = -553 meV/atom
1.0
4.382 0.000 0.000
0.000 4.382 0.000
0.000 0.000 5.335
Ge Pb Se F
1 1 1 2
direct
0.000 0.000 0.000
0.500 0.500 0.000
0.000 0.000 0.500
0.000 0.500 0.500
0.500 0.000 0.500

---

[3]
Ca2DyCu2Se4 | the Alexandria database | GGA-PBE | optimized geometry; electronic total energy = -41.75 eV per formula unit; SG = C2/m, No. 12; magnetization = 0.0 μB per formula unit; density of states at the Fermi level = 3.90 states/eV/cell; energy relative to the elements, uncorrected = -1224 meV/atom
1.0
7.346 -1.966 0.000
7.346 1.966 0.000
-2.778 0.000 6.871
Ca Dy Cu Se
2 1 2 4
direct
0.134 0.134 0.082
0.866 0.866 0.918
0.000 0.000 0.500
0.310 0.310 0.492
0.690 0.690 0.508
0.207 0.207 0.735
0.475 0.475 0.760
0.525 0.525 0.240
0.793 0.793 0.265

---

[4]
PrNi9Ge4 | the Alexandria database | GGA-PBE | optimized geometry; electronic total energy = -80.96 eV per formula unit; energy relative to the elements = -0.406 eV/atom; SG = I4/mcm, No. 140; magnetization = 0.0 μB per formula unit; density of states at the Fermi level = 22.58 states/eV/cell
1.0
-3.992 3.992 5.893
3.992 -3.992 5.893
3.992 3.992 -5.893
Pr Ni Ge
2 18 8
direct
0.250 0.250 0.000
0.750 0.750 0.000
0.000 0.500 0.500
0.056 0.556 0.250
0.068 0.796 0.864
0.194 0.944 0.500
0.204 0.068 0.271
0.296 0.568 0.864
0.306 0.806 0.750
0.432 0.296 0.729
0.444 0.694 0.500
0.500 0.000 0.500
0.556 0.306 0.500
0.568 0.704 0.271
0.694 0.194 0.250
0.704 0.432 0.136
0.796 0.932 0.729
0.806 0.056 0.500
0.932 0.204 0.136
0.944 0.444 0.750
0.051 0.205 0.500
0.205 0.705 0.154
0.295 0.449 0.500
0.449 0.949 0.154
0.551 0.051 0.846
0.705 0.551 0.500
0.795 0.295 0.846
0.949 0.795 0.500

---

[5]
BaP2SI | the Alexandria database | GGA-PBE | optimized geometry; electronic total energy = -13.35 eV per formula unit; SG = P4/mmm, No. 123; magnetization = 3.2 μB per formula unit; density of states at the Fermi level = 9.03 states/eV/cell; energy relative to the lowest polymorph listed for this composition = 756.8 meV per atom; energy relative to the elements, uncorrected = 1013 meV/atom
1.0
6.375 0.000 0.000
0.000 6.375 0.000
0.000 0.000 6.064
Ba P S I
1 2 1 1
direct
0.000 0.000 0.000
0.000 0.500 0.000
0.500 0.000 0.000
0.000 0.000 0.500
0.500 0.500 0.500

---

[6]
ScHgAs3 | the Alexandria database | GGA-PBE | optimized geometry; electronic total energy = -17.05 eV per formula unit; energy relative to the elements = 0.706 eV/atom; SG = Pm-3m, No. 221; magnetization = 0.0 μB per formula unit; density of states at the Fermi level = 4.67 states/eV/cell; energy relative to the lowest polymorph listed for this composition = 491.0 meV per atom
1.0
5.123 0.000 0.000
0.000 5.123 0.000
0.000 0.000 5.123
Sc Hg As
1 1 3
direct
0.000 0.000 0.000
0.500 0.500 0.500
0.000 0.500 0.500
0.500 0.000 0.500
0.500 0.500 0.000

---

[7]
Zr2Sc | the Alexandria database | GGA-PBE | optimized geometry; electronic total energy = -23.32 eV per formula unit; energy relative to the elements = 0.036 eV/atom; SG = I4/mmm, No. 139; magnetization = 0.0 μB per formula unit; density of states at the Fermi level = 9.66 states/eV/cell
1.0
3.148 0.000 0.000
0.000 3.148 0.000
0.000 0.000 14.134
Zr Sc
4 2
direct
0.000 0.000 0.168
0.000 0.000 0.832
0.500 0.500 0.332
0.500 0.500 0.668
0.000 0.000 0.500
0.500 0.500 0.000

---

[8]
PuHfSc2 | the Alexandria database | GGA-PBE | optimized geometry; electronic total energy = -36.57 eV per formula unit; energy relative to the elements = 0.094 eV/atom; SG = P4/mmm, No. 123; magnetization = 6.3 μB per formula unit; density of states at the Fermi level = 10.17 states/eV/cell; energy relative to the lowest polymorph listed for this composition = 14.4 meV per atom
1.0
3.186 0.000 0.000
0.000 3.186 0.000
0.000 0.000 9.489
Pu Hf Sc
1 1 2
direct
0.000 0.000 0.000
0.000 0.000 0.500
0.500 0.500 0.265
0.500 0.500 0.735

---

[9]
Ho4ZnIn | the Alexandria database | GGA-PBE | optimized geometry; electronic total energy = -22.48 eV per formula unit; energy relative to the elements = -0.025 eV/atom; SG = P4/mmm, No. 123; magnetization = 0.0 μB per formula unit; density of states at the Fermi level = 7.47 states/eV/cell; energy relative to the lowest polymorph listed for this composition = 236.6 meV per atom
1.0
5.005 0.000 0.000
0.000 5.005 0.000
0.000 0.000 7.248
Ho Zn In
4 1 1
direct
0.000 0.500 0.235
0.000 0.500 0.765
0.500 0.000 0.235
0.500 0.000 0.765
0.000 0.000 0.000
0.500 0.500 0.500

---

[10]
Er2Sn6Rh | the Alexandria database | GGA-PBE | optimized geometry; electronic total energy = -44.46 eV per formula unit; energy relative to the elements = -0.440 eV/atom; SG = P-62m, No. 189; magnetization = 0.0 μB per formula unit; density of states at the Fermi level = 5.03 states/eV/cell
1.0
8.099 0.000 0.000
-4.049 7.014 0.000
0.000 0.000 3.964
Er Sn Rh
2 6 1
direct
0.333 0.667 0.000
0.667 0.333 0.000
0.000 0.236 0.000
0.000 0.642 0.500
0.236 0.000 0.000
0.358 0.358 0.500
0.642 0.000 0.500
0.764 0.764 0.000
0.000 0.000 0.500

---

[11]
CsV2NiSe8 | the Alexandria database | GGA-PBE | optimized geometry; electronic total energy = -57.25 eV per formula unit; SG = R-3, No. 148; magnetization = 0.0 μB per formula unit; density of states at the Fermi level = 11.24 states/eV/cell; energy relative to the elements, uncorrected = -375 meV/atom
1.0
3.158 1.823 9.824
-3.158 1.823 9.824
0.000 -3.646 9.824
Cs V Ni Se
1 2 1 8
direct
0.000 0.000 0.000
0.236 0.236 0.236
0.764 0.764 0.764
0.500 0.500 0.500
0.146 0.442 0.766
0.234 0.854 0.558
0.313 0.313 0.313
0.442 0.766 0.146
0.558 0.234 0.854
0.687 0.687 0.687
0.766 0.146 0.442
0.854 0.558 0.234

---

[12]
NiRhSe2N | the Alexandria database | GGA-PBE | optimized geometry; electronic total energy = -25.34 eV per formula unit; SG = P4/mmm, No. 123; magnetization = 0.0 μB per formula unit; density of states at the Fermi level = 2.24 states/eV/cell; energy relative to the lowest polymorph listed for this composition = 0.0 meV per atom; energy relative to the elements, uncorrected = 617 meV/atom
1.0
4.876 0.000 0.000
0.000 4.876 0.000
0.000 0.000 3.322
Ni Rh Se N
1 1 2 1
direct
0.000 0.000 0.000
0.500 0.500 0.500
0.000 0.500 0.000
0.500 0.000 0.000
0.000 0.000 0.500

---

[13]
ErTm2Se3 | the Alexandria database | GGA-PBE | optimized geometry; electronic total energy = -33.96 eV per formula unit; SG = Immm, No. 71; magnetization = 0.0 μB per formula unit; density of states at the Fermi level = 4.86 states/eV/cell; energy relative to the elements, uncorrected = -1667 meV/atom
1.0
4.049 0.000 0.000
0.000 5.667 0.000
0.000 0.000 12.030
Er Tm Se
2 4 6
direct
0.000 0.000 0.000
0.500 0.500 0.500
0.000 0.000 0.335
0.000 0.000 0.665
0.500 0.500 0.165
0.500 0.500 0.835
0.000 0.500 0.000
0.000 0.500 0.332
0.000 0.500 0.668
0.500 0.000 0.168
0.500 0.000 0.500
0.500 0.000 0.832

---

[14]
Na3Bi3Pb2 | the Alexandria database | GGA-PBE | optimized geometry; electronic total energy = -24.51 eV per formula unit; energy relative to the elements = -0.187 eV/atom; SG = Cmcm, No. 63; magnetization = 0.0 μB per formula unit; density of states at the Fermi level = 3.86 states/eV/cell; energy relative to the lowest polymorph listed for this composition = 22.2 meV per atom
1.0
2.598 -6.623 0.000
2.598 6.623 0.000
0.000 0.000 15.675
Na Bi Pb
6 6 4
direct
0.054 0.946 0.620
0.054 0.946 0.880
0.286 0.714 0.750
0.714 0.286 0.250
0.946 0.054 0.120
0.946 0.054 0.380
0.401 0.599 0.250
0.401 0.599 0.560
0.401 0.599 0.940
0.599 0.401 0.060
0.599 0.401 0.440
0.599 0.401 0.750
0.243 0.757 0.093
0.243 0.757 0.407
0.757 0.243 0.593
0.757 0.243 0.907

---

[15]
Li2CaSn | the Alexandria database | GGA-PBE | optimized geometry; electronic total energy = -10.99 eV per formula unit; energy relative to the elements = -0.290 eV/atom; SG = P4/mmm, No. 123; magnetization = 0.3 μB per formula unit; density of states at the Fermi level = 1.82 states/eV/cell
1.0
4.670 0.000 0.000
0.000 4.670 0.000
0.000 0.000 4.369
Li Ca Sn
2 1 1
direct
0.000 0.500 0.000
0.500 0.000 0.000
0.000 0.000 0.500
0.500 0.500 0.500

---

[16]
La3TbNi2 | the Alexandria database | GGA-PBE | optimized geometry; electronic total energy = -32.45 eV per formula unit; energy relative to the elements = -0.245 eV/atom; SG = C2/m, No. 12; magnetization = 0.0 μB per formula unit; density of states at the Fermi level = 14.96 states/eV/cell
1.0
8.329 -2.025 0.000
8.329 2.025 0.000
-6.832 0.000 9.824
La Tb Ni
6 2 4
direct
0.084 0.084 0.451
0.088 0.088 0.940
0.345 0.345 0.748
0.655 0.655 0.252
0.912 0.912 0.060
0.916 0.916 0.549
0.340 0.340 0.246
0.660 0.660 0.754
0.267 0.267 0.441
0.267 0.267 0.947
0.733 0.733 0.053
0.733 0.733 0.559

---

[17]
Th4AsP2 | the Alexandria database | GGA-PBE | optimized geometry; electronic total energy = -53.08 eV per formula unit; energy relative to the elements = -1.133 eV/atom; SG = Cmcm, No. 63; magnetization = 0.0 μB per formula unit; density of states at the Fermi level = 12.26 states/eV/cell
1.0
2.028 -6.740 0.000
2.028 6.740 0.000
0.000 0.000 13.917
Th As P
8 2 4
direct
0.000 0.000 0.000
0.000 0.000 0.500
0.277 0.723 0.622
0.277 0.723 0.878
0.437 0.563 0.250
0.563 0.437 0.750
0.723 0.277 0.122
0.723 0.277 0.378
0.102 0.898 0.250
0.898 0.102 0.750
0.361 0.639 0.062
0.361 0.639 0.438
0.639 0.361 0.562
0.639 0.361 0.938

---

[18]
Zr4Cr3 | the Alexandria database | GGA-PBE | optimized geometry; electronic total energy = -61.80 eV per formula unit; energy relative to the elements = 0.181 eV/atom; SG = I4/mmm, No. 139; magnetization = 1.5 μB per formula unit; density of states at the Fermi level = 17.98 states/eV/cell; energy relative to the lowest polymorph listed for this composition = 64.3 meV per atom
1.0
2.998 0.000 0.000
0.000 2.998 0.000
0.000 0.000 28.948
Zr Cr
8 6
direct
0.000 0.000 0.063
0.000 0.000 0.337
0.000 0.000 0.663
0.000 0.000 0.937
0.500 0.500 0.163
0.500 0.500 0.437
0.500 0.500 0.563
0.500 0.500 0.837
0.000 0.000 0.229
0.000 0.000 0.500
0.000 0.000 0.771
0.500 0.500 0.000
0.500 0.500 0.271
0.500 0.500 0.729

---

[19]
Mn3MoN | the Alexandria database | GGA-PBE | optimized geometry; electronic total energy = -35.22 eV per formula unit; SG = Pm-3m, No. 221; magnetization = 7.3 μB per formula unit; density of states at the Fermi level = 4.27 states/eV/cell; energy relative to the lowest polymorph listed for this composition = 2411.9 meV per atom; energy relative to the elements, uncorrected = 2289 meV/atom
1.0
4.637 0.000 0.000
0.000 4.637 0.000
0.000 0.000 4.637
Mn Mo N
3 1 1
direct
0.000 0.000 0.500
0.000 0.500 0.000
0.500 0.000 0.000
0.000 0.000 0.000
0.500 0.500 0.500

---

[20]
B3PRu | the Alexandria database | GGA-PBE | optimized geometry; electronic total energy = -27.22 eV per formula unit; energy relative to the elements = 1.499 eV/atom; SG = Pm-3m, No. 221; magnetization = 1.9 μB per formula unit; density of states at the Fermi level = 2.28 states/eV/cell; energy relative to the lowest polymorph listed for this composition = 0.0 meV per atom
1.0
4.095 0.000 0.000
0.000 4.095 0.000
0.000 0.000 4.095
B P Ru
3 1 1
direct
0.000 0.000 0.500
0.000 0.500 0.000
0.500 0.000 0.000
0.500 0.500 0.500
0.000 0.000 0.000